(1)
Entry from the Alexandria database: a relaxed KCr2InCl8 crystal (PBE-GGA).

Values from the calculation:
formation energy (no corrections) = -1.136 eV/atom
space-group type = P-1
VASP energy = -51.5 eV/f.u.

Cell lengths 7.141, 6.248, 7.332 Å; angles 89.67, 89.71, 87.71 degrees
Last column: magnetic moment on the atom in μB.
Fractional coordinates of all 12 atoms:
K 0.000 0.000 0.500  0.00
Cr 0.500 0.500 0.750  2.88
Cr 0.500 0.500 0.250  2.88
In 0.000 0.000 0.000  -0.01
Cl 0.213 0.688 0.249  0.00
Cl 0.605 0.718 0.998  -0.05
Cl 0.787 0.312 0.248  0.00
Cl 0.787 0.312 0.751  0.00
Cl 0.395 0.282 0.002  -0.05
Cl 0.213 0.688 0.752  0.00
Cl 0.605 0.717 0.498  -0.05
Cl 0.395 0.283 0.502  -0.05



(2)
Entry from the Alexandria database: a relaxed K3Cr2InCl9 crystal (PBE-GGA).

Values from the calculation:
formation energy (no corrections) = -1.366 eV/atom
density of states at the Fermi level = 4.0 states/eV/cell
space-group type = P-3m1
VASP energy = -62.4 eV/f.u.

Cell lengths 7.092, 7.092, 9.749 Å; angles 90.00, 90.00, 120.00 degrees
Last column: magnetic moment on the atom in μB.
Fractional coordinates of all 15 atoms:
K 0.333 0.667 0.729  0.00
K 0.000 0.000 0.000  0.00
K 0.667 0.333 0.271  0.00
Cr 0.333 0.667 0.152  3.29
Cr 0.667 0.333 0.848  3.29
In 0.000 0.000 0.500  -0.05
Cl 0.827 0.173 0.713  -0.02
Cl 0.827 0.654 0.713  -0.02
Cl 0.346 0.173 0.713  -0.02
Cl 0.654 0.827 0.287  -0.02
Cl 0.173 0.346 0.287  -0.02
Cl 0.173 0.827 0.287  -0.02
Cl 0.500 0.000 0.000  -0.02
Cl 0.000 0.500 0.000  -0.02
Cl 0.500 0.500 0.000  -0.02